Record 1
VASP calculation (PBE) on an optimized crystal structure of Rb2AcF4.

a b c (Å): 8.735 8.735 8.735
angles (deg): 146.90 146.90 47.51
Positions (direct):
Rb: 0.175 0.175 0.000
Rb: 0.825 0.825 0.000
Ac: 0.500 0.500 0.000
F: 0.000 0.500 0.500
F: 0.351 0.351 0.000
F: 0.500 0.000 0.500
F: 0.649 0.649 0.000

Output
E_tot: -34.714 eV/f.u.


Record 2
VASP calculation (PBE) on an optimized crystal structure of KNa2PuCl8.

a b c (Å): 6.200 6.495 9.135
angles (deg): 90.01 90.05 93.31
Positions (direct):
K: 0.000 0.000 0.000
Na: 0.500 0.500 0.251
Na: 0.500 0.500 0.749
Pu: 0.000 0.000 0.500
Cl: 0.234 0.855 0.297
Cl: 0.234 0.855 0.704
Cl: 0.246 0.458 0.000
Cl: 0.250 0.333 0.500
Cl: 0.750 0.667 0.500
Cl: 0.754 0.542 0.000
Cl: 0.766 0.145 0.296
Cl: 0.766 0.145 0.703

Output
E_tot: -51.922 eV/f.u.


Record 3
VASP calculation (PBE) on an optimized crystal structure of Tb8Dy.

a b c (Å): 7.944 7.944 7.944
angles (deg): 95.72 95.72 143.20
Positions (direct):
Tb: 0.000 0.333 0.333
Tb: 0.000 0.667 0.667
Tb: 0.333 0.000 0.333
Tb: 0.333 0.333 0.667
Tb: 0.333 0.667 0.000
Tb: 0.667 0.000 0.667
Tb: 0.667 0.333 0.000
Tb: 0.667 0.667 0.333
Dy: 0.000 0.000 0.000

Output
E_tot: -41.500 eV/f.u.
energy of formation: 2 kJ per mole of atoms


Record 4
VASP calculation (PBE) on an optimized crystal structure of PmBeGa2Au5.

a b c (Å): 7.505 7.505 7.505
angles (deg): 144.74 131.43 61.42
Positions (direct):
Pm: 0.000 0.000 0.000
Be: 0.500 0.500 0.000
Ga: 0.301 0.801 0.500
Ga: 0.699 0.199 0.500
Au: 0.102 0.363 0.739
Au: 0.376 0.637 0.739
Au: 0.500 0.000 0.500
Au: 0.624 0.363 0.261
Au: 0.898 0.637 0.261

Output
E_tot: -33.507 eV/f.u.
energy of formation: -28 kJ per mole of atoms


Record 5
VASP calculation (PBE) on an optimized crystal structure of CaTa2Pb.

a b c (Å): 3.093 5.450 5.394
angles (deg): 90.00 91.17 90.00
Positions (direct):
Ca: 0.000 0.000 0.000
Ta: 0.365 0.500 0.760
Ta: 0.635 0.500 0.240
Pb: 0.500 0.000 0.500

Output
E_tot: -27.350 eV/f.u.
energy of formation: 50 kJ per mole of atoms


Record 6
VASP calculation (PBE) on an optimized crystal structure of RbB2Cl.

a b c (Å): 5.024 5.024 5.024
angles (deg): 60.00 60.00 60.00
Positions (direct):
Rb: 0.000 0.000 0.000
B: 0.250 0.250 0.250
B: 0.750 0.750 0.750
Cl: 0.500 0.500 0.500

Output
E_tot: -8.517 eV/f.u.
polymorph energy (0 for the lowest one): 1084.9 meV per atom


Record 7
VASP calculation (PBE) on an optimized crystal structure of Th2PaTcC4.

a b c (Å): 6.239 6.239 12.490
angles (deg): 90.00 90.00 146.82
Positions (direct):
Th: 0.136 0.864 0.544
Th: 0.136 0.864 0.956
Th: 0.864 0.136 0.044
Th: 0.864 0.136 0.456
Pa: 0.395 0.605 0.750
Pa: 0.605 0.395 0.250
Tc: 0.345 0.655 0.250
Tc: 0.655 0.345 0.750
C: 0.056 0.944 0.750
C: 0.222 0.778 0.142
C: 0.222 0.778 0.358
C: 0.500 0.500 0.000
C: 0.500 0.500 0.500
C: 0.778 0.222 0.642
C: 0.778 0.222 0.858
C: 0.944 0.056 0.250

Output
E_tot: -71.640 eV/f.u.
energy of formation: -1 kJ per mole of atoms


Record 8
VASP calculation (PBE) on an optimized crystal structure of Pr3Hg2.

a b c (Å): 5.359 5.359 6.560
angles (deg): 90.02 90.02 60.06
Positions (direct):
Pr: 0.000 0.000 0.000
Pr: 0.333 0.333 0.345
Pr: 0.667 0.667 0.655
Hg: 0.334 0.334 0.838
Hg: 0.666 0.666 0.162

Output
E_tot: -16.196 eV/f.u.
energy of formation: -24 kJ per mole of atoms


Record 9
VASP calculation (PBE) on an optimized crystal structure of MgTl5Cl8.

a b c (Å): 8.969 8.969 8.969
angles (deg): 106.26 106.26 116.11
Positions (direct):
Mg: 0.000 0.000 0.000
Tl: 0.139 0.625 0.024
Tl: 0.375 0.399 0.514
Tl: 0.601 0.115 0.976
Tl: 0.750 0.250 0.500
Tl: 0.885 0.861 0.486
Cl: 0.070 0.305 0.147
Cl: 0.077 0.930 0.235
Cl: 0.103 0.339 0.680
Cl: 0.158 0.923 0.853
Cl: 0.577 0.897 0.236
Cl: 0.659 0.423 0.320
Cl: 0.661 0.341 0.764
Cl: 0.695 0.842 0.765

Output
E_tot: -43.605 eV/f.u.


Which formula does entry 9 have? MgTl5Cl8


Among the records above, which one has the highest E_tot? RbB2Cl